[1]
VASP calculation (GGA+U) on a relaxed K3YMo2O8 crystal.

Cell: 6.1399 6.1399 7.7570 Å, 90.00 90.00 120.00°
Positions (direct):
K: 0.0000 0.0000 0.0000
K: 0.3333 0.6667 0.6649
K: 0.6667 0.3333 0.3351
Y: 0.0000 0.0000 0.5000
Mo: 0.3333 0.6667 0.2255
Mo: 0.6667 0.3333 0.7745
O: 0.1711 0.3422 0.3249
O: 0.1711 0.8289 0.3249
O: 0.3333 0.6667 0.9935
O: 0.3422 0.1711 0.6751
O: 0.6578 0.8289 0.3249
O: 0.6667 0.3333 0.0065
O: 0.8289 0.1711 0.6751
O: 0.8289 0.6578 0.6751

Computed properties:
space-group type = No. 164
size of the total moment = 2.00 μB/cell
calculated volume = 18.1 Å³/atom
total energy = -91.64 eV per cell

=====

[2]
VASP calculation (GGA+U) on a relaxed K5YbMo4O16 crystal.

Cell: 7.8467 6.1670 9.7509 Å, 90.00 105.45 90.00°
Positions (direct):
K: 0.0000 0.0000 0.0000
K: 0.1564 0.5000 0.7079
K: 0.4192 0.0000 0.8117
K: 0.5808 0.0000 0.1883
K: 0.8436 0.5000 0.2921
Yb: 0.5000 0.5000 0.5000
Mo: 0.1932 0.0000 0.4077
Mo: 0.2847 0.5000 0.0978
Mo: 0.7153 0.5000 0.9022
Mo: 0.8068 0.0000 0.5923
O: 0.0431 0.0000 0.6553
O: 0.0869 0.5000 0.1546
O: 0.2722 0.0000 0.2551
O: 0.2843 0.2465 0.5053
O: 0.2843 0.7535 0.5053
O: 0.2924 0.2673 0.9901
O: 0.2924 0.7327 0.9901
O: 0.4728 0.5000 0.2592
O: 0.5272 0.5000 0.7408
O: 0.7076 0.2673 0.0099
O: 0.7076 0.7327 0.0099
O: 0.7157 0.2465 0.4947
O: 0.7157 0.7535 0.4947
O: 0.7278 0.0000 0.7449
O: 0.9131 0.5000 0.8454
O: 0.9569 0.0000 0.3447

Computed properties:
space-group type = No. 10
size of the total moment = 1.28 μB/cell
calculated volume = 17.5 Å³/atom
total energy = -165.08 eV per cell

=====

[3]
VASP calculation (GGA+U) on a relaxed K2ZnMoO4 crystal.

Cell: 11.6593 10.0845 7.0589 Å, 83.71 59.29 37.00°
Positions (direct):
K: 0.0580 0.0580 0.6920
K: 0.3080 0.3080 0.9420
K: 0.6920 0.6920 0.0580
K: 0.9420 0.9420 0.3080
Zn: 0.3750 0.3750 0.3750
Zn: 0.6250 0.6250 0.6250
Mo: 0.1250 0.1250 0.1250
Mo: 0.8750 0.8750 0.8750
O: 0.0165 0.2905 0.4309
O: 0.2378 0.5691 0.7095
O: 0.2905 0.0165 0.7622
O: 0.4309 0.7622 0.0165
O: 0.5691 0.2378 0.9835
O: 0.7095 0.9835 0.2378
O: 0.7622 0.4309 0.2905
O: 0.9835 0.7095 0.5691

Computed properties:
space-group type = No. 70
size of the total moment = 0.10 μB/cell
calculated volume = 21.9 Å³/atom
total energy = -82.25 eV per cell

=====

[4]
VASP calculation (GGA+U) on a relaxed K3ZnMo2O8 crystal.

Cell: 5.9217 5.9217 7.6348 Å, 90.00 90.00 120.00°
Positions (direct):
K: 0.0000 0.0000 0.0000
K: 0.3333 0.6667 0.6637
K: 0.6667 0.3333 0.3363
Zn: 0.0000 0.0000 0.5000
Mo: 0.3333 0.6667 0.2347
Mo: 0.6667 0.3333 0.7653
O: 0.1664 0.3328 0.3255
O: 0.1664 0.8336 0.3255
O: 0.3328 0.1664 0.6745
O: 0.3333 0.6667 0.0006
O: 0.6667 0.3333 0.9994
O: 0.6672 0.8336 0.3255
O: 0.8336 0.1664 0.6745
O: 0.8336 0.6672 0.6745

Computed properties:
space-group type = No. 164
size of the total moment = 1.00 μB/cell
calculated volume = 16.6 Å³/atom
total energy = -81.36 eV per cell

=====

[5]
VASP calculation (GGA+U) on a relaxed KZr2MoO8 crystal.

Cell: 4.9087 6.9987 4.9139 Å, 90.00 91.34 90.00°
Positions (direct):
K: 0.0000 0.0000 0.0000
Zr: 0.5000 0.2649 0.5000
Zr: 0.5000 0.7351 0.5000
Mo: 0.0000 0.5000 0.0000
O: 0.1990 0.3086 0.1980
O: 0.1990 0.6914 0.1980
O: 0.2923 0.5000 0.7069
O: 0.3484 0.0000 0.6494
O: 0.6516 0.0000 0.3506
O: 0.7077 0.5000 0.2931
O: 0.8010 0.3086 0.8020
O: 0.8010 0.6914 0.8020

Computed properties:
space-group type = No. 10
size of the total moment = 1.01 μB/cell
calculated volume = 14.1 Å³/atom
total energy = -91.70 eV per cell

=====

[6]
VASP calculation (GGA+U) on a relaxed K2ZrMoO crystal.

Cell: 6.2708 6.2708 3.9764 Å, 90.00 90.00 90.00°
Positions (direct):
K: 0.0000 0.5000 0.0000
K: 0.5000 0.0000 0.0000
Zr: 0.0000 0.0000 0.5000
Mo: 0.5000 0.5000 0.5000
O: 0.5000 0.5000 0.0000

Computed properties:
space-group type = No. 123
size of the total moment = 6.52 μB/cell
calculated volume = 31.3 Å³/atom
total energy = -20.35 eV per cell

=====

Look up the calculated volume of the second one.
17.5 Å³/atom